[1]
First-principles (PBE) data for a relaxed structure of MgNb2V2Ir5, as listed in Alexandria.

Calculated values
Total energy in Ry per atom: -0.6427
DFT formation energy in eV per atom: -0.32
Symmetry: P4/mbm
Size of the total moment in μB per formula unit: 0.00

Unit cell a=3.8527 b=9.0235 c=9.0235 alpha=90.00 beta=90.00 gamma=90.00
Sites, in units of the cell vectors:
Mg (0.0000, 0.0000, 0.0000)
Mg (0.0000, 0.5000, 0.5000)
Nb (0.0000, 0.6725, 0.1725)
Nb (0.0000, 0.3275, 0.8275)
Nb (0.0000, 0.1725, 0.3275)
Nb (0.0000, 0.8275, 0.6725)
V (0.0000, 0.1300, 0.6300)
V (0.0000, 0.8700, 0.3700)
V (0.0000, 0.6300, 0.8700)
V (0.0000, 0.3700, 0.1300)
Ir (0.5000, 0.2047, 0.0695)
Ir (0.5000, 0.7953, 0.9305)
Ir (0.5000, 0.0695, 0.7953)
Ir (0.5000, 0.7047, 0.4305)
Ir (0.5000, 0.9305, 0.2047)
Ir (0.5000, 0.2953, 0.5695)
Ir (0.5000, 0.5695, 0.7047)
Ir (0.5000, 0.4305, 0.2953)
Ir (0.5000, 0.5000, 0.0000)
Ir (0.5000, 0.0000, 0.5000)



[2]
First-principles (PBE) data for a relaxed structure of Nd3MgIr8, as listed in Alexandria.

Calculated values
Total energy in Ry per atom: -0.5742
DFT formation energy in eV per atom: -0.58
Symmetry: R3m
Size of the total moment in μB per formula unit: 0.00

Unit cell a=5.3931 b=5.3931 c=9.3463 alpha=73.23 beta=73.23 gamma=60.00
Sites, in units of the cell vectors:
Nd (0.3757, 0.3757, 0.8729)
Nd (0.9966, 0.9966, 0.0102)
Nd (0.5027, 0.5027, 0.4918)
Mg (0.8732, 0.8732, 0.3803)
Ir (0.9362, 0.4366, 0.1905)
Ir (0.4405, 0.9381, 0.6833)
Ir (0.4366, 0.4366, 0.1905)
Ir (0.9381, 0.9381, 0.6833)
Ir (0.1879, 0.1879, 0.4362)
Ir (0.6877, 0.6877, 0.9370)
Ir (0.4366, 0.9362, 0.1905)
Ir (0.9381, 0.4405, 0.6833)



[3]
First-principles (PBE) data for a relaxed structure of NdMg11Ir, as listed in Alexandria.

Calculated values
Total energy in Ry per atom: -0.1859
DFT formation energy in eV per atom: -0.13
Symmetry: C2/m
Size of the total moment in μB per formula unit: 0.00

Unit cell a=5.6502 b=7.6828 c=7.7047 alpha=82.45 beta=68.49 gamma=69.00
Sites, in units of the cell vectors:
Nd (0.0000, 0.0000, 0.0000)
Mg (0.3025, 0.2223, 0.2034)
Mg (0.6975, 0.7777, 0.7966)
Mg (0.4940, 0.7777, 0.2034)
Mg (0.5060, 0.2223, 0.7966)
Mg (0.3651, 0.6368, 0.6689)
Mg (0.6349, 0.3632, 0.3311)
Mg (0.9660, 0.3632, 0.6689)
Mg (0.0340, 0.6368, 0.3311)
Mg (0.0000, 0.5000, 0.0000)
Mg (0.5000, 0.0000, 0.5000)
Mg (0.0000, 0.0000, 0.5000)
Ir (0.5000, 0.5000, 0.0000)



[4]
First-principles (PBE) data for a relaxed structure of Nd3MgIr, as listed in Alexandria.

Calculated values
Total energy in Ry per atom: -0.3779
DFT formation energy in eV per atom: -0.19
Symmetry: Pm-3m
Size of the total moment in μB per formula unit: 0.00

Unit cell a=5.5830 b=5.5830 c=5.5830 alpha=90.00 beta=90.00 gamma=90.00
Sites, in units of the cell vectors:
Mg (0.5000, 0.5000, 0.5000)
Ir (0.0000, 0.0000, 0.0000)
Nd (0.0000, 0.5000, 0.0000)
Nd (0.0000, 0.0000, 0.5000)
Nd (0.5000, 0.0000, 0.0000)



[5]
First-principles (PBE) data for a relaxed structure of Nd6MgIr, as listed in Alexandria.

Calculated values
Total energy in Ry per atom: -0.3573
DFT formation energy in eV per atom: 0.02
Symmetry: P-1
Size of the total moment in μB per formula unit: 0.00

Unit cell a=7.0128 b=7.0251 c=7.8244 alpha=63.39 beta=63.44 gamma=60.05
Sites, in units of the cell vectors:
Nd (0.0337, 0.4226, 0.7450)
Nd (0.7978, 0.0334, 0.7449)
Nd (0.5774, 0.2014, 0.2553)
Nd (0.2022, 0.9666, 0.2551)
Nd (0.9663, 0.5774, 0.2550)
Nd (0.4226, 0.7986, 0.7447)
Mg (0.5000, 0.5000, 0.5000)
Ir (0.0000, 0.0000, 0.0000)



[6]
First-principles (PBE) data for a relaxed structure of Nd3MgIr3, as listed in Alexandria.

Calculated values
Total energy in Ry per atom: -0.4924
DFT formation energy in eV per atom: -0.63
Symmetry: Cmcm
Size of the total moment in μB per formula unit: 0.00

Unit cell a=4.3490 b=5.6901 c=14.0703 alpha=90.00 beta=90.00 gamma=112.47
Sites, in units of the cell vectors:
Nd (0.2001, 0.4003, 0.8944)
Nd (0.7999, 0.5997, 0.1056)
Nd (0.2001, 0.4003, 0.6056)
Nd (0.7999, 0.5997, 0.3944)
Nd (0.4832, 0.9665, 0.7500)
Nd (0.5168, 0.0335, 0.2500)
Mg (0.5000, 0.0000, 0.0000)
Mg (0.5000, 0.0000, 0.5000)
Ir (0.9091, 0.8181, 0.9077)
Ir (0.0909, 0.1819, 0.0923)
Ir (0.9091, 0.8181, 0.5923)
Ir (0.0909, 0.1819, 0.4077)
Ir (0.7664, 0.5327, 0.7500)
Ir (0.2336, 0.4673, 0.2500)